#1
# Pt5Cl3

A relaxed Pt5Cl3 crystal (PBE, Alexandria).

The calculation puts the total magnetic moment at 0.000 μB per cell. As for the theoretical density: 13.38 g/cm³.

The space group is Cmmm (No. 65) and the conventional cell measures 8.9563, 10.4933 and 2.8563 Å, with angles of 90.00, 90.00 and 90.00 degrees. The asymmetric unit holds Pt at (0.0000, 0.0000, 0.0000), Pt at (0.2437, 0.5000, 0.5000), Pt at (0.2500, 0.2500, 0.0000), Cl at (0.0000, 0.2346, 0.5000) and Cl at (0.0000, 0.5000, 0.0000).

#2
# Pt5Cl3

A relaxed Pt5Cl3 crystal (PBE, Alexandria).

The calculation puts the total magnetic moment at 0.000 μB per cell. As for the theoretical density: 12.66 g/cm³.

The space group is P6_3/mcm (No. 193) and the conventional cell measures 7.7221, 7.7221 and 5.4936 Å, with angles of 90.00, 90.00 and 120.00 degrees. The asymmetric unit holds Pt at (0.0000, 0.2133, 0.2500), Pt at (0.3333, 0.6667, 0.0000) and Cl at (0.0000, 0.3593, 0.7500).

Which one sits at the bottom of the stability order? #2 does.

#1
# Pt3Cl2

A relaxed Pt3Cl2 crystal (PBE, Alexandria).

The calculation puts the total magnetic moment at 0.000 μB per cell. As for the theoretical density: 11.35 g/cm³.

The space group is Fdd2 (No. 43) and the conventional cell measures 9.2010, 10.1736 and 8.2019 Å, with angles of 90.00, 90.00 and 90.00 degrees. The asymmetric unit holds Pt at (0.0000, 0.0000, 0.0000), Pt at (0.0119, 0.3744, 0.7752) and Cl at (0.0854, 0.1478, 0.7893).

#2
# Pt3Cl2

A relaxed Pt3Cl2 crystal (PBE, Alexandria).

The calculation puts the total magnetic moment at 3.477 μB per cell. As for the theoretical density: 8.72 g/cm³.

The space group is P-3m1 (No. 164) and the conventional cell measures 3.9507, 3.9507 and 9.2477 Å, with angles of 90.00, 90.00 and 120.00 degrees. The asymmetric unit holds Pt at (0.0000, 0.0000, 0.0000), Pt at (0.3333, 0.6667, 0.4531) and Cl at (0.3333, 0.6667, 0.8662).

Which one sits at the bottom of the stability order? #2 does.

#1
# Pt4Cl

A relaxed Pt4Cl crystal (PBE, Alexandria).

The calculation puts the total magnetic moment at 0.009 μB per cell. As for the theoretical density: 14.60 g/cm³.

The space group is I4/mmm (No. 139) and the conventional cell measures 3.8289, 3.8289 and 12.6535 Å, with angles of 90.00, 90.00 and 90.00 degrees. The asymmetric unit holds Pt at (0.0000, 0.0000, 0.1013), Pt at (0.0000, 0.5000, 0.2500) and Cl at (0.0000, 0.0000, 0.5000).

#2
# Pt4Cl

A relaxed Pt4Cl crystal (PBE, Alexandria).

The calculation puts the total magnetic moment at 0.000 μB per cell. As for the theoretical density: 15.03 g/cm³.

The space group is Pm-3m (No. 221) and the conventional cell measures 4.4835, 4.4835 and 4.4835 Å, with angles of 90.00, 90.00 and 90.00 degrees. The asymmetric unit holds Pt at (0.0000, 0.0000, 0.0000), Pt at (0.0000, 0.5000, 0.5000) and Cl at (0.5000, 0.5000, 0.5000).

#3
# Pt4Cl

A relaxed Pt4Cl crystal (PBE, Alexandria).

The calculation puts the total magnetic moment at 0.000 μB per cell. As for the theoretical density: 16.35 g/cm³.

The space group is I4/m (No. 87) and the conventional cell measures 7.7279, 7.7279 and 2.7747 Å, with angles of 90.00, 90.00 and 90.00 degrees. The asymmetric unit holds Pt at (0.1091, 0.3100, 0.0000) and Cl at (0.0000, 0.0000, 0.5000).

Which one sits at the bottom of the stability order? #2 does.

#1
# RbPt3Cl

A relaxed RbPt3Cl crystal (PBE, Alexandria).

The calculation puts the total magnetic moment at 1.258 μB per cell. As for the theoretical density: 8.03 g/cm³.

The space group is Pm-3m (No. 221) and the conventional cell measures 5.2660, 5.2660 and 5.2660 Å, with angles of 90.00, 90.00 and 90.00 degrees. The asymmetric unit holds Rb at (0.0000, 0.0000, 0.0000), Pt at (0.0000, 0.0000, 0.5000) and Cl at (0.5000, 0.5000, 0.5000).

#2
# RbPt3Cl

A relaxed RbPt3Cl crystal (PBE, Alexandria).

The calculation puts the total magnetic moment at 0.000 μB per cell. As for the theoretical density: 10.72 g/cm³.

The space group is Pm-3m (No. 221) and the conventional cell measures 4.7821, 4.7821 and 4.7821 Å, with angles of 90.00, 90.00 and 90.00 degrees. The asymmetric unit holds Rb at (0.0000, 0.0000, 0.0000), Pt at (0.0000, 0.5000, 0.5000) and Cl at (0.5000, 0.5000, 0.5000).

Which one sits at the bottom of the stability order? #1 does.